Density functional theory data (SCAN) for a PBEsol-optimized structure of Ta2Ru.

Lattice parameters (Å, degrees): 2.8329 4.4358 4.4358 120.00 90.00 90.00
Positions (direct):
Ru: 0.0000 0.0000 0.0000
Ta: 0.6810 0.6667 0.3333
Ta: 0.3190 0.3333 0.6667

Raw total energy (eV per atom): -56.184
V (Å³ per atom): 16.1
Density of states at the Fermi level (states/eV/atom): 0.646
Formation enthalpy at 0 K (meV/atom): -186